# 1
# Ba2SrMo

Ba2SrMo at its PBEsol-relaxed geometry (meta-GGA SCAN, Alexandria via LeMat-Bulk).

## Properties
**ΔE_f**: 978 meV/atom
**Space-group type**: C2/m, No. 12
**Crystal system**: monoclinic
**Raw total energy**: -33.087 eV per atom
**V**: 38.060 Å³/atom

CIF file:
```
data_Ba2SrMo
_chemical_formula_sum 'Ba2 Sr1 Mo1'
_space_group_name_H-M_alt 'P 1'
_space_group_IT_number 1
_cell_length_a 3.780
_cell_length_b 6.890
_cell_length_c 6.890
_cell_angle_alpha 116.20
_cell_angle_beta 99.91
_cell_angle_gamma 99.91
loop_
_space_group_symop_operation_xyz
'x,y,z'
loop_
_atom_site_label
_atom_site_fract_x
_atom_site_fract_y
_atom_site_fract_z
Sr1 0.500 0.000 0.000
Ba1 0.000 0.500 0.000
Ba2 0.000 0.000 0.500
Mo1 0.500 0.500 0.500
```

=====

# 2
# BaSrMo3

BaSrMo3 at its PBEsol-relaxed geometry (meta-GGA SCAN, Alexandria via LeMat-Bulk).

## Properties
**ΔE_f**: 2775 meV/atom
**Space-group type**: Pm-3m, No. 221
**Crystal system**: cubic
**Raw total energy**: -30.521 eV per atom
**V**: 25.740 Å³/atom

CIF file:
```
data_BaSrMo3
_chemical_formula_sum 'Ba1 Sr1 Mo3'
_space_group_name_H-M_alt 'P 1'
_space_group_IT_number 1
_cell_length_a 5.049
_cell_length_b 5.049
_cell_length_c 5.049
_cell_angle_alpha 90.00
_cell_angle_beta 90.00
_cell_angle_gamma 90.00
loop_
_space_group_symop_operation_xyz
'x,y,z'
loop_
_atom_site_label
_atom_site_fract_x
_atom_site_fract_y
_atom_site_fract_z
Ba1 0.500 0.500 0.500
Mo1 0.000 0.000 0.500
Mo2 0.000 0.500 0.000
Mo3 0.500 0.000 0.000
Sr1 0.000 0.000 0.000
```

=====

# 3
# BaTaMo2

BaTaMo2 at its PBEsol-relaxed geometry (meta-GGA SCAN, Alexandria via LeMat-Bulk).

## Properties
**ΔE_f**: 657 meV/atom
**Space-group type**: P4/mmm, No. 123
**Crystal system**: tetragonal
**Raw total energy**: -43.319 eV per atom
**V**: 23.260 Å³/atom

CIF file:
```
data_BaTaMo2
_chemical_formula_sum 'Ba1 Ta1 Mo2'
_space_group_name_H-M_alt 'P 1'
_space_group_IT_number 1
_cell_length_a 3.496
_cell_length_b 3.496
_cell_length_c 7.613
_cell_angle_alpha 90.00
_cell_angle_beta 90.00
_cell_angle_gamma 90.00
loop_
_space_group_symop_operation_xyz
'x,y,z'
loop_
_atom_site_label
_atom_site_fract_x
_atom_site_fract_y
_atom_site_fract_z
Mo1 0.000 0.000 0.154
Mo2 0.000 0.000 0.846
Ba1 0.500 0.500 0.500
Ta1 0.500 0.500 0.000
```